(1)
## CoRh2Br2 (PBE-GGA)

Data for crystalline CoRh2Br2 at its relaxed geometry.

## Properties
E_form (uncorrected): 641 meV per atom
energy: -4.39 eV per atom
M_tot: 8.2 μB per cell

abc: 6.5569 6.5569 4.2131
angles: 90.00 90.00 90.00
Atoms (fractional coordinates):
Co 0.0000 0.0000 0.0000
Co 0.5000 0.5000 0.0000
Rh 0.1454 0.3546 0.0000
Rh 0.3546 0.8546 0.0000
Rh 0.6454 0.1454 0.0000
Rh 0.8546 0.6454 0.0000
Br 0.1847 0.6847 0.5000
Br 0.3153 0.1847 0.5000
Br 0.6847 0.8153 0.5000
Br 0.8153 0.3153 0.5000

=====

(2)
## Pr2FeC4 (PBE-GGA)

Data for crystalline Pr2FeC4 at its relaxed geometry.

## Properties
energy: -7.99 eV per atom
M_tot: 0.0 μB per cell

abc: 6.9191 6.9191 6.9191
angles: 113.77 83.36 135.44
Atoms (fractional coordinates):
Pr 0.1435 0.1636 0.3071
Pr 0.3565 0.6636 0.0201
Pr 0.6435 0.3364 0.9799
Pr 0.8565 0.8364 0.6929
Fe 0.2500 0.7500 0.5000
Fe 0.7500 0.2500 0.5000
C 0.0777 0.6583 0.7360
C 0.1236 0.8283 0.9519
C 0.3764 0.3283 0.7047
C 0.4223 0.1583 0.5807
C 0.5777 0.8417 0.4193
C 0.6236 0.6717 0.2953
C 0.8764 0.1717 0.0481
C 0.9223 0.3417 0.2640

=====

(3)
## TiSb2Ir (PBE-GGA)

Data for crystalline TiSb2Ir at its relaxed geometry.

## Properties
E_form (uncorrected): -5 meV per atom
energy: -6.26 eV per atom
M_tot: 0.5 μB per cell

abc: 4.7502 4.7502 4.7502
angles: 60.00 60.00 60.00
Atoms (fractional coordinates):
Ti 0.0000 0.0000 0.0000
Sb 0.2500 0.2500 0.2500
Sb 0.7500 0.7500 0.7500
Ir 0.5000 0.5000 0.5000

=====

(4)
## Na2AcOsO6 (PBE-GGA)

Data for crystalline Na2AcOsO6 at its relaxed geometry.

## Properties
E_form (uncorrected): -1807 meV per atom
energy: -6.58 eV per atom
M_tot: 1.1 μB per cell

abc: 5.7519 6.0149 10.1254
angles: 90.00 124.56 90.00
Atoms (fractional coordinates):
Na 0.2339 0.0387 0.2374
Na 0.2339 0.4613 0.7374
Na 0.7661 0.5387 0.2626
Na 0.7661 0.9613 0.7626
Ac 0.0000 0.0000 0.5000
Ac 0.0000 0.5000 0.0000
Os 0.5000 0.0000 0.0000
Os 0.5000 0.5000 0.5000
O 0.1803 0.1593 0.9593
O 0.1803 0.3407 0.4593
O 0.2808 0.7335 0.9305
O 0.2808 0.7665 0.4305
O 0.3869 0.0595 0.7853
O 0.3869 0.4405 0.2853
O 0.6131 0.5595 0.7147
O 0.6131 0.9405 0.2147
O 0.7192 0.2335 0.5695
O 0.7192 0.2665 0.0695
O 0.8197 0.6593 0.5407
O 0.8197 0.8407 0.0407

=====

Among the records above, which one has the lowest M_tot? Pr2FeC4

=====

What is the formula in the third record? TiSb2Ir

=====

What did the fourth record say?
## Na2AcOsO6 (PBE-GGA)

Data for crystalline Na2AcOsO6 at its relaxed geometry.

## Properties
E_form (uncorrected): -1807 meV per atom
energy: -6.58 eV per atom
M_tot: 1.1 μB per cell

abc: 5.7519 6.0149 10.1254
angles: 90.00 124.56 90.00
Atoms (fractional coordinates):
Na 0.2339 0.0387 0.2374
Na 0.2339 0.4613 0.7374
Na 0.7661 0.5387 0.2626
Na 0.7661 0.9613 0.7626
Ac 0.0000 0.0000 0.5000
Ac 0.0000 0.5000 0.0000
Os 0.5000 0.0000 0.0000
Os 0.5000 0.5000 0.5000
O 0.1803 0.1593 0.9593
O 0.1803 0.3407 0.4593
O 0.2808 0.7335 0.9305
O 0.2808 0.7665 0.4305
O 0.3869 0.0595 0.7853
O 0.3869 0.4405 0.2853
O 0.6131 0.5595 0.7147
O 0.6131 0.9405 0.2147
O 0.7192 0.2335 0.5695
O 0.7192 0.2665 0.0695
O 0.8197 0.6593 0.5407
O 0.8197 0.8407 0.0407

=====

What did the first record say?
## CoRh2Br2 (PBE-GGA)

Data for crystalline CoRh2Br2 at its relaxed geometry.

## Properties
E_form (uncorrected): 641 meV per atom
energy: -4.39 eV per atom
M_tot: 8.2 μB per cell

abc: 6.5569 6.5569 4.2131
angles: 90.00 90.00 90.00
Atoms (fractional coordinates):
Co 0.0000 0.0000 0.0000
Co 0.5000 0.5000 0.0000
Rh 0.1454 0.3546 0.0000
Rh 0.3546 0.8546 0.0000
Rh 0.6454 0.1454 0.0000
Rh 0.8546 0.6454 0.0000
Br 0.1847 0.6847 0.5000
Br 0.3153 0.1847 0.5000
Br 0.6847 0.8153 0.5000
Br 0.8153 0.3153 0.5000